! TaAs3 PBE optimized geometry; values from VASP
! - SG: Imm2
&SYSTEM
  ibrav = 0, nat = 4, ntyp = 2
/
ATOMIC_SPECIES
As 74.92 As.upf
Ta 180.95 Ta.upf
CELL_PARAMETERS angstrom
-4.467 -2.428 -1.086
-1.985 -1.384 4.602
1.329 4.221 -2.730
ATOMIC_POSITIONS angstrom
As -3.056 1.546 -0.213
As -0.593 3.001 -1.555
As -0.725 1.645 0.454
Ta -2.363 1.350 -2.874

=====

! TaAs2 PBE optimized geometry; values from VASP
! - SG: P6_3/mmc
&SYSTEM
  ibrav = 0, nat = 6, ntyp = 2
/
ATOMIC_SPECIES
Ta 180.95 Ta.upf
As 74.92 As.upf
CELL_PARAMETERS angstrom
-4.224 0.822 -2.147
3.951 -0.692 -2.652
-0.979 -5.255 -0.087
ATOMIC_POSITIONS angstrom
Ta -1.743 -0.996 -2.337
Ta 0.492 -4.129 -2.549
As 0.000 0.000 0.000
As -0.489 -2.628 -0.043
As 0.982 -1.501 -2.506
As -2.233 -3.624 -2.381

=====

! TaAs2 PBE optimized geometry; values from VASP
! - SG: P4/mmm
&SYSTEM
  ibrav = 0, nat = 3, ntyp = 2
/
ATOMIC_SPECIES
As 74.92 As.upf
Ta 180.95 Ta.upf
CELL_PARAMETERS angstrom
4.277 0.000 0.000
0.000 4.277 0.000
0.000 0.000 3.335
ATOMIC_POSITIONS angstrom
As 0.000 2.138 1.668
As 2.138 0.000 1.668
Ta 0.000 0.000 0.000

=====

! TaAs3 PBE optimized geometry; values from VASP
! - SG: I4/mmm
&SYSTEM
  ibrav = 0, nat = 8, ntyp = 2
/
ATOMIC_SPECIES
Ta 180.95 Ta.upf
As 74.92 As.upf
CELL_PARAMETERS angstrom
-1.106 10.658 7.299
-5.888 10.196 5.429
2.845 -11.882 -4.338
ATOMIC_POSITIONS angstrom
Ta -2.288 6.823 4.164
Ta -4.705 14.030 8.563
As 0.870 -0.612 1.480
As -1.521 -0.843 0.545
As -0.879 4.602 4.662
As -3.270 4.371 3.727
As -0.901 2.688 1.640
As -6.092 18.166 11.087

=====

! Ta4As5 PBE optimized geometry; values from VASP
! - SG: I4/mmm
&SYSTEM
  ibrav = 0, nat = 9, ntyp = 2
/
ATOMIC_SPECIES
Ta 180.95 Ta.upf
As 74.92 As.upf
CELL_PARAMETERS angstrom
-4.828 4.828 1.709
4.828 -4.828 1.709
4.828 4.828 -1.709
ATOMIC_POSITIONS angstrom
Ta 0.000 6.502 0.000
Ta 0.000 3.153 0.000
Ta 3.153 0.000 0.000
Ta 6.502 0.000 0.000
As 0.000 0.000 0.000
As -1.640 1.640 1.709
As 1.640 -1.640 1.709
As 3.187 3.187 0.000
As 1.640 1.640 1.709

=====

! TaAs3 PBE optimized geometry; values from VASP
! - SG: P4/mmm
&SYSTEM
  ibrav = 0, nat = 4, ntyp = 2
/
ATOMIC_SPECIES
As 74.92 As.upf
Ta 180.95 Ta.upf
CELL_PARAMETERS angstrom
-0.051 -3.133 1.137
2.767 -0.673 -1.732
3.648 1.802 5.127
ATOMIC_POSITIONS angstrom
As 3.518 1.737 4.944
As 2.270 -1.453 0.984
As 1.954 0.965 2.747
Ta 4.094 -0.552 3.547

=====

! Ta3As PBE optimized geometry; values from VASP
! - SG: Cmmm
&SYSTEM
  ibrav = 0, nat = 4, ntyp = 2
/
ATOMIC_SPECIES
As 74.92 As.upf
Ta 180.95 Ta.upf
CELL_PARAMETERS angstrom
4.492 0.192 0.000
-0.808 4.423 0.000
0.000 0.000 3.481
ATOMIC_POSITIONS angstrom
As 0.000 0.000 0.000
Ta -0.404 2.212 1.740
Ta 2.246 0.096 1.740
Ta 1.842 2.308 0.000

=====

! TaAs3 PBE optimized geometry; values from VASP
! - SG: Pmmn
&SYSTEM
  ibrav = 0, nat = 8, ntyp = 2
/
ATOMIC_SPECIES
Ta 180.95 Ta.upf
As 74.92 As.upf
CELL_PARAMETERS angstrom
4.439 0.000 0.000
0.000 5.110 0.000
0.000 0.000 6.607
ATOMIC_POSITIONS angstrom
Ta 0.000 0.000 4.862
Ta 2.220 2.555 1.746
As 2.220 0.000 2.996
As 0.000 2.555 3.612
As 0.000 3.884 0.909
As 0.000 1.226 0.909
As 2.220 1.329 5.698
As 2.220 3.780 5.698

=====

! Ta3As PBE optimized geometry; values from VASP
! - SG: P2/m
&SYSTEM
  ibrav = 0, nat = 4, ntyp = 2
/
ATOMIC_SPECIES
As 74.92 As.upf
Ta 180.95 Ta.upf
CELL_PARAMETERS angstrom
-3.023 1.440 -3.246
1.660 -1.231 -2.092
-2.594 -4.515 0.413
ATOMIC_POSITIONS angstrom
As 0.000 0.000 0.000
Ta -2.089 -3.653 -3.024
Ta -0.467 -2.873 -0.840
Ta -1.867 -0.653 -1.901

=====

! TaAs2 PBE optimized geometry; values from VASP
! - SG: I4/mcm
&SYSTEM
  ibrav = 0, nat = 6, ntyp = 2
/
ATOMIC_SPECIES
Ta 180.95 Ta.upf
As 74.92 As.upf
CELL_PARAMETERS angstrom
4.754 -2.087 0.260
-1.642 1.423 4.723
-3.286 -3.538 -1.926
ATOMIC_POSITIONS angstrom
Ta 0.778 -0.166 1.246
Ta 2.335 -0.498 3.737
As 2.793 -2.020 1.494
As -2.966 -2.181 1.562
As -0.195 -2.303 -0.185
As 0.021 -1.899 3.242

=====

! TaAs3 PBE optimized geometry; values from VASP
! - SG: P-6m2
&SYSTEM
  ibrav = 0, nat = 4, ntyp = 2
/
ATOMIC_SPECIES
As 74.92 As.upf
Ta 180.95 Ta.upf
CELL_PARAMETERS angstrom
-1.607 -1.282 2.257
2.992 -0.551 -0.248
1.912 7.779 5.780
ATOMIC_POSITIONS angstrom
As 1.836 7.469 5.550
As 1.032 4.200 3.121
As 0.404 0.906 2.867
Ta 1.360 4.796 5.757

=====

! Ta5As PBE optimized geometry; values from VASP
! - SG: Cmmm
&SYSTEM
  ibrav = 0, nat = 6, ntyp = 2
/
ATOMIC_SPECIES
Ta 180.95 Ta.upf
As 74.92 As.upf
CELL_PARAMETERS angstrom
-6.851 1.865 0.387
4.298 -5.387 -1.751
-0.133 -1.163 3.252
ATOMIC_POSITIONS angstrom
Ta 0.495 -3.538 0.592
Ta 2.468 -4.197 -1.400
Ta -0.066 -0.582 1.626
Ta -5.021 0.674 0.036
Ta -3.180 -1.148 1.297
As -1.277 -1.761 -0.682

=====

! Ta4As3 PBE optimized geometry; values from VASP
! - SG: I4/mmm
&SYSTEM
  ibrav = 0, nat = 7, ntyp = 2
/
ATOMIC_SPECIES
Ta 180.95 Ta.upf
As 74.92 As.upf
CELL_PARAMETERS angstrom
8.849 -2.404 -5.180
9.899 -3.549 -0.575
-10.204 0.723 2.506
ATOMIC_POSITIONS angstrom
Ta 15.932 -5.059 -4.890
Ta 2.816 -0.894 -0.864
Ta 10.607 -3.368 -3.256
Ta 8.141 -2.585 -2.499
As 0.000 0.000 0.000
As 13.234 -4.203 -4.062
As 5.514 -1.751 -1.692

=====

! TaAs3 PBE optimized geometry; values from VASP
! - SG: R-3m
&SYSTEM
  ibrav = 0, nat = 4, ntyp = 2
/
ATOMIC_SPECIES
As 74.92 As.upf
Ta 180.95 Ta.upf
CELL_PARAMETERS angstrom
4.964 -0.016 -0.035
-1.991 4.547 -0.035
-1.991 -3.034 3.387
ATOMIC_POSITIONS angstrom
As 0.000 0.000 0.000
As -1.991 0.756 1.676
As 1.486 -1.525 1.676
Ta 1.486 2.265 -0.035

=====

! TaAs3 PBE optimized geometry; values from VASP
! - SG: P6_3/mmc
&SYSTEM
  ibrav = 0, nat = 16, ntyp = 2
/
ATOMIC_SPECIES
As 74.92 As.upf
Ta 180.95 Ta.upf
CELL_PARAMETERS angstrom
-4.472 3.002 2.143
-0.137 -1.891 -5.478
-4.282 -8.567 3.066
ATOMIC_POSITIONS angstrom
As -2.236 1.501 1.071
As -4.377 -2.783 2.604
As -0.069 -0.946 -2.739
As -2.305 0.555 -1.668
As -4.446 -3.728 -0.135
As -2.210 -5.229 -1.206
As -4.944 -0.910 -1.203
As -3.947 -6.546 0.934
As -2.478 -1.505 0.582
As -4.871 0.102 1.728
As -4.021 -7.559 -1.998
As -6.414 -5.952 -0.851
Ta 0.000 0.000 0.000
Ta -2.141 -4.284 1.533
Ta -2.653 -2.402 -2.171
Ta -6.239 -5.055 1.902

=====

! TaAs2 PBE optimized geometry; values from VASP
! - SG: P6_3/mmc
&SYSTEM
  ibrav = 0, nat = 12, ntyp = 2
/
ATOMIC_SPECIES
As 74.92 As.upf
Ta 180.95 Ta.upf
CELL_PARAMETERS angstrom
5.074 0.000 0.000
-2.537 4.394 0.000
0.000 0.000 11.034
ATOMIC_POSITIONS angstrom
As 0.000 0.000 0.000
As 0.000 0.000 5.517
As 2.537 2.943 2.759
As 0.000 1.451 8.276
As 1.256 0.725 2.759
As 3.817 0.725 2.759
As -1.281 3.669 8.276
As 1.281 3.669 8.276
Ta 0.000 2.929 10.547
Ta 2.537 1.465 5.030
Ta 2.537 1.465 0.487
Ta 0.000 2.929 6.004

=====

! TaAs2 PBE optimized geometry; values from VASP
! - SG: Fd-3m
&SYSTEM
  ibrav = 0, nat = 6, ntyp = 2
/
ATOMIC_SPECIES
Ta 180.95 Ta.upf
As 74.92 As.upf
CELL_PARAMETERS angstrom
0.000 3.793 3.793
3.793 0.000 3.793
3.793 3.793 0.000
ATOMIC_POSITIONS angstrom
Ta 3.793 3.793 3.793
Ta 5.689 5.689 5.689
As 0.948 2.845 2.845
As 2.845 2.845 0.948
As 0.948 0.948 0.948
As 2.845 0.948 2.845

=====

! Ta8As PBE optimized geometry; values from VASP
! - SG: I4/mmm
&SYSTEM
  ibrav = 0, nat = 9, ntyp = 2
/
ATOMIC_SPECIES
Ta 180.95 Ta.upf
As 74.92 As.upf
CELL_PARAMETERS angstrom
-4.187 4.187 2.320
4.187 -4.187 2.320
4.187 4.187 -2.320
ATOMIC_POSITIONS angstrom
Ta 1.369 -1.369 2.320
Ta -1.369 1.369 2.320
Ta 2.699 0.000 0.000
Ta 1.369 1.369 2.320
Ta 0.000 2.699 0.000
Ta 2.818 2.818 0.000
Ta 5.676 0.000 0.000
Ta 0.000 5.676 0.000
As 0.000 0.000 0.000

=====

! TaAs2 PBE optimized geometry; values from VASP
! - SG: Cmcm
&SYSTEM
  ibrav = 0, nat = 6, ntyp = 2
/
ATOMIC_SPECIES
Ta 180.95 Ta.upf
As 74.92 As.upf
CELL_PARAMETERS angstrom
0.899 4.603 -4.875
-1.221 -6.350 1.988
-4.521 0.864 -0.018
ATOMIC_POSITIONS angstrom
Ta -4.395 -4.581 1.271
Ta -0.448 3.698 -4.177
As -2.987 2.693 -3.286
As -3.683 -0.905 -1.032
As -1.856 -3.576 0.380
As -1.160 0.022 -1.874

=====

! TaAs8 PBE optimized geometry; values from VASP
! - SG: I4/mmm
&SYSTEM
  ibrav = 0, nat = 9, ntyp = 2
/
ATOMIC_SPECIES
Ta 180.95 Ta.upf
As 74.92 As.upf
CELL_PARAMETERS angstrom
2.160 -6.073 1.520
-4.355 4.577 1.987
-3.227 -1.732 -5.518
ATOMIC_POSITIONS angstrom
Ta 0.000 0.000 0.000
As -0.116 -2.352 1.683
As -2.078 0.856 1.824
As -5.123 1.922 -2.386
As -3.022 -1.733 -2.630
As -0.721 -5.274 -2.701
As -2.400 -1.495 0.620
As -2.459 0.923 -1.145
As -0.346 -2.532 -1.296

=====

The evaluated energy relative to the elements for the records listed, in turn: -215 187 149 101 174 -11 -85 9 5 -285 248 -94 -262 223 405 442 706 51 -126 317 meV per atom.
The evaluated calculated total energy for the records listed, in turn: -6.666 -6.864 -6.901 -6.350 -7.677 -6.462 -10.137 -6.441 -10.047 -7.336 -6.202 -10.746 -9.027 -6.227 -6.046 -6.609 -6.345 -11.002 -7.177 -5.133 eV per atom.